1.
This record from OQMD describes crystalline AgBi2 at its relaxed geometry. The functional is PBE.

* symmetry: No. 12
* calculated total energy: -0.262 Ry per atom
* ΔE to the lowest computed polymorph: 0.000 eV per atom

Lattice parameters (Å, degrees): 4.2947 5.8132 7.0129 100.35 107.83 90.00
Positions (direct):
Ag 0.2207 0.8364 0.4415
Ag 0.7793 0.1636 0.5585
Bi 0.5567 0.7802 0.1134
Bi 0.1461 0.3193 0.2922
Bi 0.8539 0.6807 0.7078
Bi 0.4433 0.2198 0.8866

=====

2.
This record from OQMD describes crystalline CdAg15 at its relaxed geometry. The functional is PBE.

* symmetry: No. 49
* ΔH_f (0 K): 0.033 eV per atom
* calculated total energy: -0.196 Ry per atom
* ΔE to the lowest computed polymorph: 0.003 eV per atom

Lattice parameters (Å, degrees): 4.1430 8.2796 46.4998 90.00 90.00 90.00
Positions (direct):
Ag 0.2500 0.1203 0.1641
Ag 0.7500 0.8797 0.1641
Ag 0.2500 0.3757 0.2085
Ag 0.7500 0.6243 0.2085
Ag 0.7500 0.1255 0.2089
Ag 0.2500 0.8745 0.2089
Ag 0.7500 0.3751 0.2536
Ag 0.2500 0.6249 0.2536
Ag 0.2500 0.1252 0.2538
Ag 0.7500 0.8748 0.2538
Ag 0.2500 0.3756 0.2986
Ag 0.7500 0.6244 0.2986
Ag 0.7500 0.1254 0.2987
Ag 0.2500 0.8746 0.2987
Ag 0.2500 0.1251 0.3434
Ag 0.7500 0.8749 0.3434
Ag 0.7500 0.3750 0.3435
Ag 0.2500 0.6250 0.3435
Ag 0.7500 0.1247 0.3880
Ag 0.2500 0.8753 0.3880
Ag 0.2500 0.3748 0.3881
Ag 0.7500 0.6252 0.3881
Ag 0.7500 0.3749 0.4328
Ag 0.2500 0.6251 0.4328
Ag 0.2500 0.1250 0.4328
Ag 0.7500 0.8750 0.4328
Ag 0.2500 0.3750 0.4776
Ag 0.7500 0.6250 0.4776
Ag 0.7500 0.1250 0.4776
Ag 0.2500 0.8750 0.4776
Ag 0.2500 0.1250 0.5224
Ag 0.7500 0.8750 0.5224
Ag 0.7500 0.3750 0.5224
Ag 0.2500 0.6250 0.5224
Ag 0.7500 0.1250 0.5672
Ag 0.2500 0.8750 0.5672
Ag 0.2500 0.3749 0.5672
Ag 0.7500 0.6251 0.5672
Ag 0.7500 0.3748 0.6119
Ag 0.2500 0.6252 0.6119
Ag 0.2500 0.1247 0.6120
Ag 0.7500 0.8753 0.6120
Ag 0.2500 0.3750 0.6565
Ag 0.7500 0.6250 0.6565
Ag 0.7500 0.1251 0.6566
Ag 0.2500 0.8749 0.6566
Ag 0.2500 0.1254 0.7013
Ag 0.7500 0.8746 0.7013
Ag 0.7500 0.3756 0.7014
Ag 0.2500 0.6244 0.7014
Ag 0.7500 0.1252 0.7462
Ag 0.2500 0.8748 0.7462
Ag 0.2500 0.3751 0.7464
Ag 0.7500 0.6249 0.7464
Ag 0.2500 0.1255 0.7911
Ag 0.7500 0.8745 0.7911
Ag 0.7500 0.3757 0.7915
Ag 0.2500 0.6243 0.7915
Ag 0.7500 0.1203 0.8359
Ag 0.2500 0.8797 0.8359
Cd 0.7500 0.3647 0.1607
Cd 0.2500 0.6353 0.1607
Cd 0.2500 0.3647 0.8393
Cd 0.7500 0.6353 0.8393

=====

3.
This record from OQMD describes crystalline Dy3In3NiAg2 at its relaxed geometry. The functional is PBE.

* symmetry: No. 189
* calculated total energy: -0.305 Ry per atom
* total moment: 0.000 μB/atom

Lattice parameters (Å, degrees): 7.6985 7.6985 3.9339 90.00 90.00 120.00
Positions (direct):
Ag 0.6667 0.3333 0.5000
Ag 0.3333 0.6667 0.5000
Dy 0.6001 0.0000 0.0000
Dy 0.3999 0.3999 0.0000
Dy 0.0000 0.6001 0.0000
In 0.2464 0.0000 0.5000
In 0.0000 0.2464 0.5000
In 0.7536 0.7536 0.5000
Ni 0.0000 0.0000 0.0000

=====

4.
This record from OQMD describes crystalline AcAgAs2 at its relaxed geometry. The functional is PBE.

* symmetry: No. 129
* calculated total energy: -0.354 Ry per atom
* total moment: 0.000 μB/atom

Lattice parameters (Å, degrees): 4.2059 4.2059 11.0461 90.00 90.00 90.00
Positions (direct):
Ac 0.0000 0.5000 0.2684
Ac 0.5000 0.0000 0.7316
Ag 0.0000 0.0000 0.0000
Ag 0.5000 0.5000 0.0000
As 0.5000 0.0000 0.1629
As 0.0000 0.0000 0.5000
As 0.5000 0.5000 0.5000
As 0.0000 0.5000 0.8371